Computed, not measured: an optimized crystal structure of BaCr2Ag at the PBE level of DFT.

CIF file:
```
data_BaCr2Ag
_chemical_formula_sum 'Ba2 Cr4 Ag2'
_symmetry_space_group_name_H-M 'C 1 2/m 1'
_symmetry_Int_Tables_number 12
_symmetry_space_group_name_Hall '-C 2y'
_cell_length_a 6.387
_cell_length_b 10.632
_cell_length_c 3.328
_cell_angle_alpha 90.00
_cell_angle_beta 117.90
_cell_angle_gamma 90.00
loop_
_atom_site_label
_atom_site_fract_x
_atom_site_fract_y
_atom_site_fract_z
Ba1 0.000 0.000 0.000
Cr1 0.250 0.250 0.500
Ag1 0.000 0.500 0.000
```

Summary:
DOS at the Fermi energy: 0.71 states/eV per atom
excess energy over the best structure of this formula in the dataset: 180 kJ/mol of formula units
crystal system: monoclinic
total magnetization: 8.79 μB/f.u.
calculated formation energy: 3.92 eV/f.u.